First-principles (PBE with a Hubbard U) data for a relaxed RbTlVF2 crystal, as listed in Alexandria via LeMat-Bulk.

Cell: 5.226 5.226 5.457 Å, 90.00 90.00 90.00°
Positions (direct):
Rb: 0.000 0.000 0.000
Tl: 0.500 0.500 0.500
V: 0.500 0.500 0.000
F: 0.000 0.500 0.500
F: 0.500 0.000 0.500

As for the volume: 149 Å³ per cell. As for the uncorrected energy: -16.686 eV for the cell shown. Its theoretical density is 4.2 g/cm³. Its symmetry is P4/mmm (123).